This record from Alexandria describes a relaxed Sr2TmTl3 crystal. The functional is GGA-PBE.

```
data_Sr2TmTl3
_chemical_formula_sum 'Sr4 Tm2 Tl6'
_symmetry_space_group_name_H-M 'P 1'
_symmetry_Int_Tables_number 1
_cell_length_a 5.640
_cell_length_b 8.873
_cell_length_c 7.966
_cell_angle_alpha 90.00
_cell_angle_beta 90.00
_cell_angle_gamma 71.47
loop_
_symmetry_equiv_pos_as_xyz
'x,y,z'
loop_
_atom_site_label
_atom_site_fract_x
_atom_site_fract_y
_atom_site_fract_z
_atom_site_occupancy
Sr1 0.000 0.000 0.000 1
Sr2 0.000 0.000 0.500 1
Sr3 0.337 0.326 0.500 1
Sr4 0.663 0.674 0.500 1
Tm1 0.335 0.331 0.000 1
Tm2 0.665 0.669 0.000 1
Tl1 0.826 0.347 0.772 1
Tl2 0.500 0.000 0.229 1
Tl3 0.174 0.653 0.228 1
Tl4 0.827 0.347 0.228 1
Tl5 0.173 0.653 0.772 1
Tl6 0.500 0.000 0.771 1
```

- Space group: No. 65
- ΔH_f (0 K): -2.2 eV per formula unit
- Spin magnetization: 0.0 μB/cell

This record from Alexandria describes a relaxed Sr2TmTl4 crystal. The functional is GGA-PBE.

```
data_Sr2TmTl4
_chemical_formula_sum 'Sr2 Tm1 Tl4'
_symmetry_space_group_name_H-M 'P 1'
_symmetry_Int_Tables_number 1
_cell_length_a 5.440
_cell_length_b 5.440
_cell_length_c 8.669
_cell_angle_alpha 108.29
_cell_angle_beta 108.29
_cell_angle_gamma 90.00
loop_
_symmetry_equiv_pos_as_xyz
'x,y,z'
loop_
_atom_site_label
_atom_site_fract_x
_atom_site_fract_y
_atom_site_fract_z
_atom_site_occupancy
Sr1 0.747 0.747 0.494 1
Sr2 0.253 0.253 0.506 1
Tm1 0.000 0.000 0.000 1
Tl1 0.396 0.896 0.793 1
Tl2 0.896 0.396 0.793 1
Tl3 0.604 0.104 0.207 1
Tl4 0.104 0.604 0.207 1
```

- Space group: No. 139
- ΔH_f (0 K): -1.8 eV per formula unit
- Spin magnetization: 0.0 μB/cell